Entry 1:
VASP calculation (PBE) on a relaxed DyTm3Sc2 crystal.

Output
offset from the most stable computed form	1.06	eV/f.u.
formation energy	307	meV per atom
energy	-4.806	eV per atom

The structure in POSCAR format:
```
DyTm3Sc2
1.0
7.100 -4.810 0.000
7.100 4.810 0.000
0.000 0.000 5.394
Dy Tm Sc
2 6 4
direct
0.222 0.778 0.750 Dy
0.778 0.222 0.250 Dy
0.127 0.389 0.250 Tm
0.389 0.127 0.750 Tm
0.406 0.594 0.250 Tm
0.594 0.406 0.750 Tm
0.611 0.873 0.250 Tm
0.873 0.611 0.750 Tm
0.012 0.202 0.750 Sc
0.202 0.012 0.250 Sc
0.798 0.988 0.750 Sc
0.988 0.798 0.250 Sc
```

Entry 2:
VASP calculation (PBE) on a relaxed Zr2Br crystal.

Output
offset from the most stable computed form	0.32	eV/f.u.
E_form (uncorrected)	-0.69	eV/f.u.
energy	-6.488	eV per atom

The structure in POSCAR format:
```
Zr2Br
1.0
-1.611 1.611 6.693
1.611 -1.611 6.693
1.611 1.611 -6.693
Zr Br
2 1
direct
0.171 0.171 0.000 Zr
0.829 0.829 0.000 Zr
0.500 0.500 0.000 Br
```

Entry 3:
VASP calculation (PBE) on a relaxed MnTcRh3 crystal.

Output
offset from the most stable computed form	0.00	eV/f.u.
formation energy	1175	meV per atom
energy	-7.143	eV per atom

The structure in POSCAR format:
```
MnTcRh3
1.0
4.650 0.000 0.000
0.000 4.650 0.000
0.000 0.000 4.650
Mn Tc Rh
1 1 3
direct
0.000 0.000 0.000 Mn
0.500 0.500 0.500 Tc
0.000 0.500 0.500 Rh
0.500 0.000 0.500 Rh
0.500 0.500 0.000 Rh
```

Entry 4:
VASP calculation (PBE) on a relaxed SrLiPmPd crystal.

Output
formation energy	-241	meV per atom
energy	-3.626	eV per atom

The structure in POSCAR format:
```
SrLiPmPd
1.0
0.000 3.734 3.734
3.734 0.000 3.734
3.734 3.734 0.000
Sr Li Pm Pd
1 1 1 1
direct
0.000 0.000 0.000 Sr
0.250 0.250 0.250 Li
0.500 0.500 0.500 Pm
0.750 0.750 0.750 Pd
```

Entry 5:
VASP calculation (PBE) on a relaxed Zr2CdAu crystal.

Output
formation energy	-276	meV per atom
energy	-5.598	eV per atom

The structure in POSCAR format:
```
Zr2CdAu
1.0
7.709 0.000 0.000
0.000 3.019 0.000
0.000 0.000 7.164
Zr Cd Au
4 2 2
direct
0.033 0.000 0.236 Zr
0.467 0.000 0.236 Zr
0.533 0.000 0.764 Zr
0.967 0.000 0.764 Zr
0.250 0.500 0.533 Cd
0.750 0.500 0.467 Cd
0.250 0.500 0.951 Au
0.750 0.500 0.049 Au
```

Entry 6:
VASP calculation (PBE) on a relaxed KMn4Cl8 crystal.

Output
E_form (uncorrected)	-14.34	eV/f.u.
energy	-5.145	eV per atom

The structure in POSCAR format:
```
KMn4Cl8
1.0
6.457 -3.643 0.000
6.457 3.643 0.000
-6.328 0.000 7.662
K Mn Cl
1 4 8
direct
0.000 0.000 0.000 K
0.256 0.744 0.500 Mn
0.259 0.259 0.512 Mn
0.741 0.741 0.488 Mn
0.744 0.256 0.500 Mn
0.002 0.002 0.680 Cl
0.007 0.511 0.689 Cl
0.489 0.993 0.311 Cl
0.490 0.490 0.310 Cl
0.510 0.510 0.690 Cl
0.511 0.007 0.689 Cl
0.993 0.489 0.311 Cl
0.998 0.998 0.320 Cl
```

Repeat the fourth record exactly.
VASP calculation (PBE) on a relaxed SrLiPmPd crystal.

Output
formation energy	-241	meV per atom
energy	-3.626	eV per atom

The structure in POSCAR format:
```
SrLiPmPd
1.0
0.000 3.734 3.734
3.734 0.000 3.734
3.734 3.734 0.000
Sr Li Pm Pd
1 1 1 1
direct
0.000 0.000 0.000 Sr
0.250 0.250 0.250 Li
0.500 0.500 0.500 Pm
0.750 0.750 0.750 Pd
```